## one
A geometry-optimized Mg2H5Rh structure. Source: the Alexandria database, functional GGA-PBE.

Lattice parameters (Å, degrees): 5.013 5.013 8.814 90.00 90.00 134.19
Element x y z (fractional)
Mg: 0.145 0.855 0.577
Mg: 0.145 0.855 0.923
Mg: 0.855 0.145 0.077
Mg: 0.855 0.145 0.423
H: 0.065 0.935 0.125
H: 0.065 0.935 0.375
H: 0.303 0.697 0.750
H: 0.338 0.662 0.102
H: 0.338 0.662 0.398
H: 0.662 0.338 0.602
H: 0.662 0.338 0.898
H: 0.697 0.303 0.250
H: 0.935 0.065 0.625
H: 0.935 0.065 0.875
Rh: 0.212 0.788 0.250
Rh: 0.788 0.212 0.750

As for the space group: Cmcm, No. 63. The theoretical density comes out at 3.27 g/cm3. The calculation puts the volume at 9.93 Å³/atom. For the density of states at the Fermi level, the calculation gives 3.267 states/eV per cell.

***

## two
A geometry-optimized Mg2H5Rh structure. Source: the Alexandria database, functional GGA-PBE.

Lattice parameters (Å, degrees): 4.714 4.714 4.714 122.13 122.13 86.35
Element x y z (fractional)
Mg: 0.000 0.500 0.500
Mg: 0.500 0.000 0.500
H: 0.490 0.490 0.512
H: 0.490 0.979 0.000
H: 0.499 0.499 0.000
H: 0.979 0.490 0.000
H: 0.979 0.979 0.488
Rh: 0.254 0.254 0.000

As for the space group: I4mm, No. 107. The theoretical density comes out at 3.63 g/cm3. The calculation puts the volume at 8.94 Å³/atom. For the density of states at the Fermi level, the calculation gives 0.184 states/eV per cell.

***

Order of stability, best first: two, one